First-principles (GGA-PBE) data for a relaxed CaEr2PaSb4 crystal, as listed in the Alexandria database.

Summary:
Its magnetic moment is 0.56 Bohr magnetons per cell. The density of states at the Fermi level is 5.13 states/eV/f.u. As for the space group: P2/m. The calculation puts the density at 7.57 g cm⁻³. The volume is 30.0 Å³ per atom. The calculation puts the formation energy without anion corrections at -7.23 eV per formula unit.

```
CaEr2PaSb4
1.0
7.595 0.000 0.000
0.000 4.387 0.000
-2.484 0.000 7.192
Ca Er Pa Sb
1 2 1 4
direct
0.000 0.000 0.000
0.500 0.000 0.500
0.500 0.500 0.000
0.000 0.500 0.500
0.253 0.000 0.748
0.254 0.500 0.258
0.746 0.500 0.742
0.747 0.000 0.252
```